A) VASP calculation (PBE) on crystalline TlMo2Au at its relaxed geometry.

Cell lengths 5.1044, 5.1044, 5.0192 Å; angles 77.21, 77.21, 36.83 degrees
Closest atoms and distances in Å follow each position.
Positions (direct):
Mo 0.0044 0.0044 0.9387  2 Mo 2.50
Mo 0.4956 0.4956 0.5613  2 Mo 2.50
Tl 0.2500 0.2500 0.2500  4 Au 2.98, 6 Mo 3.05-3.14, 2 Tl 3.23
Au 0.7500 0.7500 0.7500  6 Mo 2.84-2.85, 4 Tl 2.98

Results
The value obtained for the volume is 76.2 Å³/f.u. As for the symmetry: C2/m (12). As for the crystal system: monoclinic.

---

B) VASP calculation (PBE) on crystalline TlMo2Au at its relaxed geometry.

Cell lengths 4.6501, 4.6501, 4.6501 Å; angles 60.00, 60.00, 60.00 degrees
Closest atoms and distances in Å follow each position.
Positions (direct):
Mo 0.7500 0.7500 0.7500  4 Tl 2.85, 4 Au 2.85
Mo 0.2500 0.2500 0.2500  4 Tl 2.85, 4 Au 2.85
Au 0.0000 0.0000 0.0000  8 Mo 2.85
Tl 0.5000 0.5000 0.5000  8 Mo 2.85

Results
The value obtained for the volume is 71.1 Å³/f.u. As for the symmetry: Fm-3m (225). As for the crystal system: cubic.

---

Relative energies, eV/atom: A) 0.000; B) 0.219.

---

A) VASP calculation (PBE) on crystalline TlMo2WAu at its relaxed geometry.

Cell lengths 4.8188, 5.1896, 4.8188 Å; angles 90.00, 90.00, 90.00 degrees
Closest atoms and distances in Å follow each position.
Positions (direct):
Mo 0.5000 0.0000 0.0000  2 W 2.41
Mo 0.0000 0.0000 0.5000  2 W 2.41
Tl 0.5000 0.5000 0.5000  4 Au 3.41, 8 Mo 3.54
W 0.0000 0.0000 0.0000  4 Mo 2.41, 2 Au 2.59
Au 0.0000 0.5000 0.0000  2 W 2.59

Results
The value obtained for the volume is 120.5 Å³/f.u. As for the symmetry: P4/mmm (123). As for the crystal system: tetragonal.

---

B) VASP calculation (PBE) on crystalline TlMo2WAu at its relaxed geometry.

Cell lengths 4.8954, 4.8807, 4.8954 Å; angles 90.00, 90.00, 90.00 degrees
Closest atoms and distances in Å follow each position.
Positions (direct):
Mo 0.5000 0.0000 0.0000  2 Au 2.45
Mo 0.0000 0.0000 0.5000  2 Au 2.45
Tl 0.5000 0.5000 0.5000  8 Mo 3.46, 4 W 3.46
W 0.0000 0.5000 0.0000  2 Au 2.44
Au 0.0000 0.0000 0.0000  2 W 2.44, 4 Mo 2.45

Results
The value obtained for the volume is 117.0 Å³/f.u. As for the symmetry: P4/mmm (123). As for the crystal system: tetragonal.

---

Relative energies, eV/atom: A) 0.000; B) 0.742.

---

A) VASP calculation (PBE) on crystalline VMoAu at its relaxed geometry.

Cell lengths 2.6116, 4.5693, 4.5693 Å; angles 120.00, 90.00, 90.00 degrees
Closest atoms and distances in Å follow each position.
Positions (direct):
Au 0.0999 0.0000 0.0000  2 Au 2.61, 3 V 2.67, 3 Mo 2.91
V 0.2686 0.3333 0.6667  2 V 2.61, 3 Au 2.67, 3 Mo 2.80
Mo 0.6315 0.6667 0.3333  2 Mo 2.61, 3 V 2.80, 3 Au 2.91

Results
The value obtained for the volume is 47.2 Å³/f.u. As for the symmetry: P3m1 (156). As for the crystal system: trigonal.

---

B) VASP calculation (PBE) on crystalline VMoAu at its relaxed geometry.

Cell lengths 3.1879, 2.7528, 13.3557 Å; angles 94.53, 90.00, 125.38 degrees
Closest atoms and distances in Å follow each position.
Positions (direct):
V 0.8190 0.6380 0.2383  2 Mo 2.59, 3 Au 2.75-2.89, 4 V 2.75
V 0.1810 0.3620 0.7617  2 Mo 2.59, 3 Au 2.75-2.89, 4 V 2.75
Mo 0.7254 0.4507 0.9154  2 V 2.59, 6 Mo 2.75-2.76
Mo 0.2746 0.5493 0.0846  2 V 2.59, 6 Mo 2.75-2.76
Au 0.2844 0.5687 0.4042  3 V 2.75-2.89, 7 Au 2.75-3.06
Au 0.7156 0.4313 0.5958  3 V 2.75-2.89, 7 Au 2.75-3.06

Results
The value obtained for the volume is 47.6 Å³/f.u. As for the symmetry: C2/m (12). As for the crystal system: monoclinic.

---

Relative energies, eV/atom: A) 0.242; B) 0.000.

---

A) VASP calculation (PBE) on crystalline V2MoAu at its relaxed geometry.

Cell lengths 3.1116, 3.1116, 12.5599 Å; angles 90.00, 90.00, 90.00 degrees
Closest atoms and distances in Å follow each position.
Positions (direct):
Au 0.7497 0.7500 0.5773  4 V 2.73, 4 Au 2.93-2.94, 1 Mo 3.05
Au 0.2503 0.2500 0.4227  4 V 2.73, 4 Au 2.93-2.94, 1 Mo 3.05
V 0.7501 0.7500 0.0622  4 Mo 2.65, 5 V 2.70-2.91
V 0.2499 0.2500 0.9378  4 Mo 2.65, 5 V 2.70-2.91
V 0.7504 0.7500 0.2935  4 Mo 2.62, 4 Au 2.73, 1 V 2.91
V 0.2496 0.2500 0.7065  4 Mo 2.62, 4 Au 2.73, 1 V 2.91
Mo 0.2503 0.2500 0.1801  8 V 2.62-2.65
Mo 0.7497 0.7500 0.8199  8 V 2.62-2.65

Results
The value obtained for the volume is 60.8 Å³/f.u. As for the symmetry: P4/nmm (129). As for the crystal system: tetragonal.

---

B) VASP calculation (PBE) on crystalline V2MoAu at its relaxed geometry.

Cell lengths 3.1659, 3.1659, 6.0597 Å; angles 90.00, 90.00, 90.00 degrees
Closest atoms and distances in Å follow each position.
Positions (direct):
Au 0.5000 0.5000 0.5000  8 V 2.79, 2 Mo 3.03
V 0.0000 0.0000 0.7735  4 Mo 2.63, 1 V 2.75, 4 Au 2.79
V 0.0000 0.0000 0.2265  4 Mo 2.63, 1 V 2.75, 4 Au 2.79
Mo 0.5000 0.5000 0.0000  8 V 2.63

Results
The value obtained for the volume is 60.7 Å³/f.u. As for the symmetry: P4/mmm (123). As for the crystal system: tetragonal.

---

C) VASP calculation (PBE) on crystalline V2MoAu at its relaxed geometry.

Cell lengths 6.9332, 6.9332, 5.6083 Å; angles 51.82, 51.82, 90.00 degrees
Closest atoms and distances in Å follow each position.
Positions (direct):
V 0.6078 0.1250 0.2500  2 Mo 2.46, 2 Au 2.63, 2 V 2.73
V 0.3750 0.3922 0.7500  2 Mo 2.46, 2 Au 2.63, 2 V 2.73
V 0.1422 0.6250 0.2500  2 Mo 2.46, 2 Au 2.63, 2 V 2.73
V 0.8750 0.8578 0.7500  2 Mo 2.46, 2 Au 2.63, 2 V 2.73
Au 0.0000 0.0000 0.0000  4 V 2.63, 2 Mo 2.72
Au 0.7500 0.2500 0.5000  4 V 2.63, 2 Mo 2.72
Mo 0.2500 0.7500 0.5000  4 V 2.46, 2 Au 2.72
Mo 0.5000 0.5000 0.0000  4 V 2.46, 2 Au 2.72

Results
The value obtained for the volume is 65.5 Å³/f.u. As for the symmetry: I-42d (122). As for the crystal system: tetragonal.

---

Relative energies, eV/atom: A) 0.000; B) 0.044; C) 0.670.

---

A) VASP calculation (PBE) on crystalline V2MoAu at its relaxed geometry.

Cell lengths 3.4028, 4.2008, 4.2008 Å; angles 90.00, 90.00, 90.00 degrees
Closest atoms and distances in Å follow each position.
Positions (direct):
Mo 0.5000 0.0000 0.0000  8 V 2.70, 4 Au 2.97
V 0.0000 0.0000 0.5000  4 Mo 2.70, 4 Au 2.70, 4 V 2.97
V 0.0000 0.5000 0.0000  4 Mo 2.70, 4 Au 2.70, 4 V 2.97
Au 0.5000 0.5000 0.5000  8 V 2.70, 4 Mo 2.97

Results
The value obtained for the volume is 60.0 Å³/f.u. As for the symmetry: P4/mmm (123). As for the crystal system: tetragonal.

---

B) VASP calculation (PBE) on crystalline V2MoAu at its relaxed geometry.

Cell lengths 4.4038, 4.4038, 4.4038 Å; angles 60.00, 60.00, 60.00 degrees
Closest atoms and distances in Å follow each position.
Positions (direct):
Au 0.5000 0.5000 0.5000  8 V 2.70
Mo 0.0000 0.0000 0.0000  8 V 2.70
V 0.2500 0.2500 0.2500  4 Au 2.70, 4 Mo 2.70
V 0.7500 0.7500 0.7500  4 Mo 2.70, 4 Au 2.70

Results
The value obtained for the volume is 60.4 Å³/f.u. As for the symmetry: Fm-3m (225). As for the crystal system: cubic.

---

Relative energies, eV/atom: A) 0.000; B) 0.068.

---

A) VASP calculation (PBE) on crystalline MoW2Au at its relaxed geometry.

Cell lengths 4.5400, 4.5400, 4.5400 Å; angles 60.00, 60.00, 60.00 degrees
Closest atoms and distances in Å follow each position.
Positions (direct):
W 0.0000 0.0000 0.0000  4 Mo 2.78, 4 W 2.78
W 0.2500 0.2500 0.2500  4 W 2.78, 4 Au 2.78
Au 0.5000 0.5000 0.5000  4 W 2.78, 4 Mo 2.78
Mo 0.7500 0.7500 0.7500  4 Au 2.78, 4 W 2.78

Results
The value obtained for the volume is 66.2 Å³/f.u. As for the symmetry: F-43m (216). As for the crystal system: cubic.

---

B) VASP calculation (PBE) on crystalline MoW2Au at its relaxed geometry.

Cell lengths 4.9292, 4.9292, 5.1315 Å; angles 83.10, 83.10, 32.08 degrees
Closest atoms and distances in Å follow each position.
Positions (direct):
W 0.7521 0.7521 0.7487  5 W 2.72-2.90, 3 Au 2.85-2.87, 4 Mo 2.90-2.91
W 0.0006 0.0006 0.0003  5 W 2.72-2.90, 3 Mo 2.81-2.91, 4 Au 2.90-2.91
Mo 0.2475 0.2475 0.2514  2 Mo 2.72, 7 W 2.81-2.91, 3 Au 2.84-2.87
Au 0.4998 0.4998 0.4995  2 Au 2.72, 3 Mo 2.84-2.87, 7 W 2.85-2.91

Results
The value obtained for the volume is 65.7 Å³/f.u. As for the symmetry: Cm (8). As for the crystal system: monoclinic.

---

Relative energies, eV/atom: A) 0.117; B) 0.000.

---

A) VASP calculation (PBE) on crystalline MoW2Au at its relaxed geometry.

Cell lengths 4.9192, 4.9192, 2.8706 Å; angles 90.00, 90.00, 109.92 degrees
Closest atoms and distances in Å follow each position.
Positions (direct):
Mo 0.0000 0.5000 0.5000  2 Au 2.82, 8 W 2.85, 2 Mo 2.87
W 0.0000 0.0000 0.0000  4 W 2.82-2.87, 4 Mo 2.85, 4 Au 2.85
W 0.5000 0.5000 0.0000  4 W 2.82-2.87, 4 Au 2.85, 4 Mo 2.85
Au 0.5000 0.0000 0.5000  2 Mo 2.82, 8 W 2.85, 2 Au 2.87

Results
The value obtained for the volume is 65.3 Å³/f.u. As for the symmetry: Cmmm (65). As for the crystal system: orthorhombic.

---

B) VASP calculation (PBE) on crystalline MoW2Au at its relaxed geometry.

Cell lengths 4.9037, 4.9037, 4.9037 Å; angles 131.89, 130.81, 71.26 degrees
Closest atoms and distances in Å follow each position.
Positions (direct):
W 0.0021 0.0021 0.0000  4 Mo 2.81-2.86, 4 Au 2.83-2.84, 4 W 2.86
W 0.4979 0.4979 0.0000  4 Mo 2.81-2.86, 4 Au 2.83-2.84, 4 W 2.86
Au 0.7500 0.2500 0.5000  8 W 2.83-2.84, 4 Mo 2.86
Mo 0.2500 0.7500 0.5000  8 W 2.81-2.86, 4 Au 2.86

Results
The value obtained for the volume is 65.0 Å³/f.u. As for the symmetry: Immm (71). As for the crystal system: orthorhombic.

---

Relative energies, eV/atom: A) 0.041; B) 0.000.

---

A) VASP calculation (PBE) on crystalline Mo3WAu at its relaxed geometry.

Cell lengths 4.7360, 4.7360, 4.7360 Å; angles 90.00, 90.00, 90.00 degrees
Closest atoms and distances in Å follow each position.
Positions (direct):
Mo 0.0000 0.0000 0.5000  2 W 2.37
Mo 0.0000 0.5000 0.0000  2 W 2.37
Mo 0.5000 0.0000 0.0000  2 W 2.37
W 0.0000 0.0000 0.0000  6 Mo 2.37
Au 0.5000 0.5000 0.5000  12 Mo 3.35

Results
The value obtained for the volume is 106.2 Å³/f.u. As for the symmetry: Pm-3m (221). As for the crystal system: cubic.

---

B) VASP calculation (PBE) on crystalline Mo3WAu at its relaxed geometry.

Cell lengths 4.7517, 4.7517, 4.7517 Å; angles 90.00, 90.00, 90.00 degrees
Closest atoms and distances in Å follow each position.
Positions (direct):
Mo 0.5000 0.0000 0.0000  2 Au 2.38
Mo 0.0000 0.5000 0.0000  2 Au 2.38
Mo 0.0000 0.0000 0.5000  2 Au 2.38
Au 0.0000 0.0000 0.0000  6 Mo 2.38
W 0.5000 0.5000 0.5000  12 Mo 3.36

Results
The value obtained for the volume is 107.3 Å³/f.u. As for the symmetry: Pm-3m (221). As for the crystal system: cubic.

---

Relative energies, eV/atom: A) 0.000; B) 0.890.